[1]
4
Lattice="4.515 0.001 -0.001 3.657 2.648 -0.001 0.982 0.319 4.646" Properties=species:S:1:pos:R:3 comment="MnCdCo2, relaxed, DFT PBE" dos_at_fermi_per_ev_atom=1.29 total_magnetization_mub_per_cell=6.0 crystal_system=monoclinic delta_e_f_ev_per_atom=0.309 pbc="T T T"
Cd 2.289 0.742 1.161
Co 1.034 0.335 4.466
Co 4.525 1.467 2.503
Mn 6.866 2.226 3.483

---

[2]
4
Lattice="-0.330 2.790 0.345 -2.712 -0.225 -0.780 -1.843 -1.048 6.712" Properties=species:S:1:pos:R:3 comment="MnCdCo2, relaxed, DFT PBE" dos_at_fermi_per_ev_atom=0.85 total_magnetization_mub_per_cell=6.8 crystal_system=tetragonal delta_e_f_ev_per_atom=0.181 pbc="T T T"
Cd -2.931 0.480 4.919
Co -0.085 -0.048 0.309
Co -1.948 1.040 1.337
Mn -0.842 -0.479 3.068

---

[3]
3
Lattice="4.178 0.000 0.000 2.089 3.619 0.000 2.089 1.206 3.412" Properties=species:S:1:pos:R:3 comment="MnCdCo, relaxed, DFT PBE" e_above_lowest_polymorph_ev_per_fu=1.205 dos_at_fermi_per_ev_atom=0.42 total_magnetization_mub_per_cell=4.2 crystal_system=cubic delta_e_f_ev_per_atom=0.580 pbc="T T T"
Cd 4.178 2.412 1.706
Co 6.268 3.619 2.559
Mn 0.000 0.000 0.000

---

[4]
5
Lattice="-1.022 3.281 3.504 2.114 -2.908 3.341 4.310 2.205 -0.808" Properties=species:S:1:pos:R:3 comment="MnCd3Co, relaxed, DFT PBE" e_above_lowest_polymorph_ev_per_fu=0.000 dos_at_fermi_per_ev_atom=0.53 total_magnetization_mub_per_cell=5.6 crystal_system=cubic delta_e_f_ev_per_atom=0.719 pbc="T T T"
Mn 2.701 1.289 3.018
Co 0.000 0.000 0.000
Cd 1.057 -1.454 1.670
Cd 2.155 1.102 -0.404
Cd -0.511 1.641 1.752

---

[5]
6
Lattice="0.000 3.898 3.898 3.898 0.000 3.898 3.898 3.898 0.000" Properties=species:S:1:pos:R:3 comment="MnCd4Co, relaxed, DFT PBE" dos_at_fermi_per_ev_atom=0.64 total_magnetization_mub_per_cell=5.1 crystal_system=cubic delta_e_f_ev_per_atom=0.533 pbc="T T T"
Mn 0.000 0.000 0.000
Cd 2.925 4.871 4.871
Cd 4.871 4.871 2.925
Cd 4.871 2.925 4.871
Cd 2.925 2.925 2.925
Co 5.847 5.847 5.847

---

[6]
4
Lattice="-0.804 -0.793 4.138 -2.581 -3.245 1.100 1.631 -3.499 1.870" Properties=species:S:1:pos:R:3 comment="MnCdCo2, relaxed, DFT PBE" dos_at_fermi_per_ev_atom=0.92 total_magnetization_mub_per_cell=6.7 crystal_system=cubic delta_e_f_ev_per_atom=0.326 pbc="T T T"
Cd -0.877 -3.768 3.554
Co 0.000 0.000 0.000
Co -0.438 -1.884 1.777
Mn -1.315 -5.652 5.331

---

[7]
5
Lattice="-3.845 -1.691 -0.232 1.529 -3.666 1.388 -0.760 1.184 3.965" Properties=species:S:1:pos:R:3 comment="MnCdCo3, relaxed, DFT PBE" e_above_lowest_polymorph_ev_per_fu=0.000 dos_at_fermi_per_ev_atom=1.47 total_magnetization_mub_per_cell=1.6 crystal_system=cubic delta_e_f_ev_per_atom=1.020 pbc="T T T"
Mn 0.000 0.000 0.000
Co 0.764 -1.833 0.694
Co -0.380 0.592 1.982
Co -1.923 -0.846 -0.116
Cd -1.538 -2.086 2.560

---

[8]
4
Lattice="-3.264 2.425 2.255 -4.185 -1.355 -1.505 3.646 -2.432 1.552" Properties=species:S:1:pos:R:3 comment="MnCdCo2, relaxed, DFT PBE" dos_at_fermi_per_ev_atom=1.04 total_magnetization_mub_per_cell=6.6 crystal_system=tetragonal delta_e_f_ev_per_atom=0.294 pbc="T T T"
Cd -1.671 0.264 2.091
Co 0.000 0.000 0.000
Co -2.132 -1.626 0.211
Mn -3.724 0.535 0.375